Record 1
Computed, not measured: a relaxed structure of CdSeBr3 at the GGA-PBEsol level of DFT.

Values from the calculation:
density of states at the Fermi level = 3.10 states/eV/cell
electronic total energy = -10.6 eV per cell
formation energy from raw total energies = 0.014 eV/atom

The structure in CIF format:
```
data_CdSeBr3
_space_group_name_H-M_alt 'P m -3 m'
_space_group_IT_number 221
_space_group_name_Hall '-P 4 2 3'
_cell_length_a 5.261
_cell_length_b 5.261
_cell_length_c 5.261
_cell_angle_alpha 90.00
_cell_angle_beta 90.00
_cell_angle_gamma 90.00
loop_
_atom_site_label
_atom_site_type_symbol
_atom_site_fract_x
_atom_site_fract_y
_atom_site_fract_z
Cd1 Cd 0.000 0.000 0.000
Se1 Se 0.500 0.500 0.500
Br1 Br 0.000 0.500 0.500
```

---

Record 2
Computed, not measured: a relaxed structure of La2Re at the GGA-PBEsol level of DFT.

Values from the calculation:
energy of formation from the pure elements = 275.7 meV/atom
density of states at the Fermi level = 7.31 states/eV/cell
electronic total energy = -46.4 eV per cell
energy above the lowest structure with this stoichiometry = 0.000 eV per atom

The structure in CIF format:
```
data_La2Re
_space_group_name_H-M_alt 'I 4/m m m'
_space_group_IT_number 139
_space_group_name_Hall '-I 4 2'
_cell_length_a 3.469
_cell_length_b 3.469
_cell_length_c 14.025
_cell_angle_alpha 90.00
_cell_angle_beta 90.00
_cell_angle_gamma 90.00
loop_
_atom_site_label
_atom_site_type_symbol
_atom_site_fract_x
_atom_site_fract_y
_atom_site_fract_z
La1 La 0.000 0.000 0.123
Re1 Re 0.000 0.000 0.500
```